Computed, not measured: a geometry-optimized Li2CoAuO structure at the GGA+U level of DFT.

Unit cell a=4.947 b=4.947 c=3.458 alpha=90.00 beta=90.00 gamma=90.00
Sites, in units of the cell vectors:
Li 0.000 0.500 0.000
Li 0.500 0.000 0.000
Co 0.000 0.000 0.000
Au 0.500 0.500 0.500
O 0.000 0.000 0.500

Summary:
DFT total energy (eV/atom): -3.8208
Calculated density (g cm⁻³): 5.606
Symmetry: P4/mmm